# Th2CuSe

Crystalline Th2CuSe at its relaxed geometry (GGA-PBE, the Alexandria database).

```
8
Lattice="-2.0689 -3.5306 1.1121 2.8032 -2.2214 -1.8374 4.8285 0.6351 10.9987" Properties=species:S:1:pos:R:3 pbc="T T T"
Th 2.0360 -3.9255 3.4523
Th 3.5268 -1.1914 6.8211
Th 5.2399 -4.1701 8.6361
Th 0.3229 -0.9468 1.6373
Cu 5.2933 -1.3262 9.6792
Cu 0.2695 -3.7907 0.5943
Se 1.9259 -1.0692 4.2309
Se 3.6369 -4.0477 6.0425
```

Computed properties:
energy relative to the elements, uncorrected	-802	meV/atom
E above lowest polymorph	0.000	eV/atom
volume	202	Å³/cell
crystal system	orthorhombic